w) # AlAu2Cl

A crystal of AlAu2Cl relaxed with PBEsol (SCAN, Alexandria).

space group = P4/mmm

```
AlAu2Cl
1.0
2.8668 0.0000 0.0000
0.0000 4.9522 0.0000
0.0000 0.0000 4.9522
Au Cl Al
2 1 1
Cartesian
0.0000 2.4761 0.0000
0.0000 0.0000 2.4761
1.4334 2.4761 2.4761
1.4334 0.0000 0.0000
```

x) # AlAu2Cl

A crystal of AlAu2Cl relaxed with PBEsol (SCAN, Alexandria).

space group = Pmmm

```
AlAu2Cl
1.0
2.8746 0.0000 0.0000
0.0000 5.0689 0.0000
0.0000 0.0000 4.8108
Au Cl Al
2 1 1
Cartesian
1.4373 2.5345 0.0000
0.0000 0.0000 0.0000
1.4373 0.0000 2.4054
0.0000 2.5345 2.4054
```

y) # AlAu2Cl

A crystal of AlAu2Cl relaxed with PBEsol (SCAN, Alexandria).

space group = Immm

```
AlAu2Cl
1.0
-0.9881 2.3932 1.3309
0.6160 -2.0485 4.1409
5.1581 1.7603 -2.5195
Cl Au Al
1 2 1
Cartesian
-0.4941 1.1966 0.6655
2.9650 1.1525 0.1291
1.8210 0.9524 2.8233
0.3080 -1.0243 2.0704
```

z) # AlAu2Cl

A crystal of AlAu2Cl relaxed with PBEsol (SCAN, Alexandria).

space group = I-4m2

```
AlAu2Cl
1.0
4.2118 0.0000 0.0000
0.0000 4.2118 0.0000
-2.1059 -2.1059 3.9763
Au Al Cl
2 1 1
Cartesian
2.1059 0.0000 1.9882
0.0000 0.0000 0.0000
0.0000 2.1059 1.9882
2.1059 2.1059 0.0000
```

We find y) to be the most stable, with the next structure 0.270 eV/atom higher.

w) # Al2HgAu

A crystal of Al2HgAu relaxed with PBEsol (SCAN, Alexandria).

space group = P2/m

```
Al2HgAu
1.0
2.9412 0.0000 0.0000
0.0000 3.1160 0.0830
0.0000 -0.2453 8.0768
Al Hg Au
2 1 1
Cartesian
0.0000 1.4786 2.3865
0.0000 1.3921 5.7733
1.4706 1.5580 0.0415
1.4706 -0.1226 4.0384
```

x) # Al2HgAu

A crystal of Al2HgAu relaxed with PBEsol (SCAN, Alexandria).

space group = F-43m

```
Al2HgAu
1.0
4.7096 0.0000 0.0000
2.3548 4.0786 0.0000
2.3548 1.3595 3.8454
Hg Au Al
1 1 2
Cartesian
2.3548 1.3595 0.9613
4.7096 2.7191 1.9227
0.0000 0.0000 0.0000
7.0644 4.0786 2.8840
```

We find w) to be the most stable, with the next structure 0.388 eV/atom higher.

w) # K2AlAu

A crystal of K2AlAu relaxed with PBEsol (SCAN, Alexandria).

space group = I4/mmm

```
K2AlAu
1.0
4.4693 0.0000 0.0000
0.0000 4.4693 0.0000
-2.2347 -2.2347 5.3423
Al Au K
1 1 2
Cartesian
0.0000 0.0000 0.0000
2.2347 2.2347 0.0000
0.0000 2.2347 2.6711
2.2347 0.0000 2.6711
```

x) # K2AlAu

A crystal of K2AlAu relaxed with PBEsol (SCAN, Alexandria).

space group = P4/mmm

```
K2AlAu
1.0
-1.7148 -4.0054 0.3803
3.9825 -1.7486 -0.4586
0.7860 0.2288 5.9531
Au Al K
1 1 2
Cartesian
1.5269 -2.7626 2.9374
1.1339 -2.8770 -0.0391
0.5813 0.1692 4.4027
0.2047 0.0596 1.5504
```

y) # K2AlAu

A crystal of K2AlAu relaxed with PBEsol (SCAN, Alexandria).

space group = Cm

```
K2AlAu
1.0
4.3711 0.0072 0.0151
2.1818 3.7877 0.0151
2.0321 1.1768 9.1272
Au K Al
1 2 1
Cartesian
6.4569 3.7393 5.7280
2.0824 1.2059 8.1721
2.0969 1.2144 3.2445
4.2734 2.4748 5.7187
```

We find y) to be the most stable, with the next structure 0.376 eV/atom higher.